Entry from Alexandria: a relaxed BeAs2Se crystal (PBE-GGA).

N(E_F) (states/eV/cell): 0.94
Calculated volume (Å³/atom): 18.11
Polymorph energy (0 for the lowest one) (meV per atom): 604

Unit cell a=2.7706 b=3.2003 c=8.1696 alpha=90.00 beta=90.00 gamma=90.00
Last column: nearest neighbours and their distance in Å.
Space group Pmmm (No. 47)
Unique sites:
Be: 0.0000 0.0000 0.0000 x1  8 As 2.52, 2 Be 2.77
As: 0.5000 0.5000 0.1672 x2  4 Be 2.52, 3 As 2.73-2.77
Se: 0.0000 0.0000 0.5000 x1  2 Se 2.77

Entry from Alexandria: a relaxed Zn2FeMo crystal (PBE-GGA).

ΔE_f (eV/atom): 0.575
N(E_F) (states/eV/cell): 11.10
Calculated volume (Å³/atom): 14.96
Polymorph energy (0 for the lowest one) (meV per atom): 518

Unit cell a=6.8484 b=6.8484 c=5.1053 alpha=90.00 beta=90.00 gamma=90.00
Last column: nearest neighbours and their distance in Å.
Space group I-42d (No. 122)
Unique sites:
Zn: 0.2310 0.2500 0.1250 x8  2 Fe 2.42, 2 Zn 2.57, 2 Mo 2.59
Fe: 0.0000 0.0000 0.0000 x4  4 Zn 2.42, 2 Mo 2.55
Mo: 0.0000 0.0000 0.5000 x4  2 Fe 2.55, 4 Zn 2.59